Record 1
A plane-wave DFT calculation with GGA-PBE was carried out for a geometry-optimized Sb2AsRu structure.

Computed properties:
- E_form (uncorrected): 445 meV/atom
- Total DFT energy (no corrections): -5.098 eV per atom

a = 4.986 Å, b = 4.986 Å, c = 3.240 Å
α = 90.00°, β = 90.00°, γ = 90.00°
Space group P4/mmm (No. 123)
Asymmetric unit:
Sb 0.000 0.500 0.000 x2
As 0.000 0.000 0.500 x1
Ru 0.500 0.500 0.500 x1

Record 2
A plane-wave DFT calculation with GGA-PBE was carried out for a geometry-optimized SrScSb2 structure.

Computed properties:
- E_form (uncorrected): -622 meV/atom
- Distance to the lowest polymorph of the same formula: 0.231 eV per atom
- Total DFT energy (no corrections): -4.686 eV per atom

a = 7.675 Å, b = 7.675 Å, c = 7.675 Å
α = 90.00°, β = 90.00°, γ = 90.00°
Space group Fm-3m (No. 225)
Asymmetric unit:
Sr 0.000 0.000 0.000 x4
Sc 0.000 0.000 0.500 x4
Sb 0.250 0.250 0.250 x8

Record 3
A plane-wave DFT calculation with GGA-PBE was carried out for a geometry-optimized Be2FeAs2 structure.

Computed properties:
- Formation energy: 363 meV/atom
- Total DFT energy (no corrections): -4.680 eV per atom

a = 6.191 Å, b = 6.191 Å, c = 3.201 Å
α = 90.00°, β = 90.00°, γ = 90.00°
Space group P4/mbm (No. 127)
Asymmetric unit:
Be 0.122 0.378 0.000 x4
Fe 0.000 0.000 0.000 x2
As 0.184 0.684 0.500 x4

Record 4
A plane-wave DFT calculation with GGA-PBE was carried out for a geometry-optimized BaGe2Br structure.

Computed properties:
- E_form (uncorrected): 100 meV/atom
- Distance to the lowest polymorph of the same formula: 0.200 eV per atom
- Total DFT energy (no corrections): -3.107 eV per atom

a = 7.755 Å, b = 7.755 Å, c = 7.755 Å
α = 90.00°, β = 90.00°, γ = 90.00°
Space group Fm-3m (No. 225)
Asymmetric unit:
Ba 0.000 0.000 0.000 x4
Ge 0.250 0.250 0.250 x8
Br 0.000 0.000 0.500 x4

| no. | size of the total moment (μB/f.u.) |
| --- | --- |
| 1 | 0.00 |
| 2 | 0.00 |
| 3 | 0.00 |
| 4 | 0.00 |